No. 1
WIBrN2, relaxed, DFT PBE; ΔE to the lowest computed polymorph = 2110.1 meV/atom; final energy = -3.76 eV per atom; E_form (uncorrected) = 2.81 eV per atom; space-group type = P4/mmm (123); N(E_F) = 0.6929 states/eV per atom
1.0
-0.4689 -1.9633 3.4886
-1.4338 -3.1971 -1.9919
6.5583 -2.5843 -0.5728
I Br W N
1 1 1 2
direct
0.0000 0.0000 0.5000 I
0.0000 0.0000 0.0000 Br
0.5000 0.5000 0.5000 W
0.0000 0.5000 0.0000 N
0.5000 0.0000 0.0000 N

***

No. 2
WI2BrN, relaxed, DFT PBE; ΔE to the lowest computed polymorph = 0.0 meV/atom; final energy = -4.83 eV per atom; E_form (uncorrected) = 0.38 eV per atom; space-group type = P4/mmm (123); N(E_F) = 0.8795 states/eV per atom
1.0
-5.4561 -0.2075 -1.3071
1.2799 -2.2383 -4.9872
-0.2314 -3.5347 1.5270
I Br W N
2 1 1 1
direct
0.0000 0.5000 0.0000 I
0.5000 0.0000 0.0000 I
0.5000 0.5000 0.5000 Br
0.0000 0.0000 0.0000 W
0.0000 0.0000 0.5000 N